1.
VASP calculation (GGA-PBE) on TlAsRh2 after structural relaxation.

Cell lengths 8.6889, 8.6889, 8.6889 Å; angles 21.11, 21.11, 21.11 degrees
Atoms (fractional coordinates):
Tl 0.0000 0.0000 0.0000
As 0.7717 0.7717 0.7717
Rh 0.2505 0.2505 0.2505
Rh 0.4994 0.4994 0.4994

Properties
crystal system = trigonal
E = -5.268 eV/atom
Fermi-level density of states = 4.548 states/eV/f.u.
space-group type = R3m

2.
VASP calculation (GGA-PBE) on ZrCo2Os2 after structural relaxation.

Cell lengths 5.8841, 5.8841, 5.8841 Å; angles 141.43, 141.43, 55.68 degrees
Atoms (fractional coordinates):
Zr 0.0000 0.0000 0.0000
Co 0.2500 0.7500 0.5000
Co 0.7500 0.2500 0.5000
Os 0.3885 0.3885 0.0000
Os 0.6115 0.6115 0.0000

Properties
crystal system = tetragonal
E = -8.932 eV/atom
Fermi-level density of states = 4.936 states/eV/f.u.
space-group type = I4/mmm